Entry 1:
Density functional theory data (GGA-PBE) for Ca2TbPt3 after structural relaxation.

Lattice parameters (Å, degrees): 7.8210 7.8210 7.0388 90.00 90.00 143.23
Closest atoms and distances in Å follow each position.
Fractional positions:
Ca (0.0000, 0.0000, 0.0000)  8 Pt 3.05-3.17
Ca (0.0000, 0.0000, 0.5000)  8 Pt 3.01-3.04
Ca (0.3335, 0.6665, 0.0000)  8 Pt 3.04-3.10
Ca (0.6665, 0.3335, 0.0000)  8 Pt 3.04-3.10
Tb (0.3371, 0.6629, 0.5000)  8 Pt 2.95-2.97
Tb (0.6629, 0.3371, 0.5000)  8 Pt 2.95-2.97
Pt (0.1724, 0.8276, 0.2659)  3 Tb 2.95-2.97, 5 Ca 3.04-3.17, 1 Pt 3.30
Pt (0.1724, 0.8276, 0.7341)  3 Tb 2.95-2.97, 5 Ca 3.04-3.17, 1 Pt 3.30
Pt (0.5000, 0.5000, 0.2548)  2 Tb 2.97, 6 Ca 3.01-3.05
Pt (0.5000, 0.5000, 0.7452)  2 Tb 2.97, 6 Ca 3.01-3.05
Pt (0.8276, 0.1724, 0.2659)  3 Tb 2.95-2.97, 5 Ca 3.04-3.17, 1 Pt 3.30
Pt (0.8276, 0.1724, 0.7341)  3 Tb 2.95-2.97, 5 Ca 3.04-3.17, 1 Pt 3.30

Results
space-group type	No. 65
DOS(E_F)	4.721	states/eV/cell
ΔH_f (0 K)	-594	kJ/mol of formula units
total magnetic moment	0.00	μB per cell


Entry 2:
Density functional theory data (GGA-PBE) for Ac2ThAl after structural relaxation.

Lattice parameters (Å, degrees): 5.1128 5.1128 5.1307 90.00 90.00 90.00
Closest atoms and distances in Å follow each position.
Fractional positions:
Ac (0.0000, 0.5000, 0.0000)  4 Ac 3.62, 4 Th 3.62, 4 Al 3.62
Ac (0.5000, 0.0000, 0.0000)  4 Ac 3.62, 4 Th 3.62, 4 Al 3.62
Th (0.0000, 0.0000, 0.5000)  4 Al 3.62, 8 Ac 3.62
Al (0.5000, 0.5000, 0.5000)  4 Th 3.62, 8 Ac 3.62

Results
energy above the most stable polymorph in this dataset	30	meV per atom
space-group type	No. 123
DOS(E_F)	4.179	states/eV/cell
ΔH_f (0 K)	10	kJ/mol of formula units
total magnetic moment	0.00	μB per cell


Entry 3:
Density functional theory data (GGA-PBE) for BeP2Cl after structural relaxation.

Lattice parameters (Å, degrees): 4.8010 4.8010 13.5808 90.00 90.00 90.00
Closest atoms and distances in Å follow each position.
Fractional positions:
Be (0.0000, 0.0000, 0.0000)  4 P 2.11
Be (0.0000, 0.5000, 0.2500)  4 P 2.11
Be (0.5000, 0.0000, 0.7500)  4 P 2.11
Be (0.5000, 0.5000, 0.5000)  4 P 2.11
P (0.0750, 0.2500, 0.1250)  2 Be 2.11
P (0.2500, 0.5750, 0.3750)  2 Be 2.11
P (0.2500, 0.9250, 0.8750)  2 Be 2.11
P (0.4250, 0.2500, 0.6250)  2 Be 2.11
P (0.5750, 0.7500, 0.6250)  2 Be 2.11
P (0.7500, 0.0750, 0.8750)  2 Be 2.11
P (0.7500, 0.4250, 0.3750)  2 Be 2.11
P (0.9250, 0.7500, 0.1250)  2 Be 2.11
Cl (0.0000, 0.0000, 0.5000)  4 P 2.91
Cl (0.0000, 0.5000, 0.7500)  4 P 2.91
Cl (0.5000, 0.0000, 0.2500)  4 P 2.91
Cl (0.5000, 0.5000, 0.0000)  4 P 2.91

Results
energy above the most stable polymorph in this dataset	848	meV per atom
space-group type	No. 122
E_form (uncorrected)	179	kJ/mol of formula units
DOS(E_F)	10.466	states/eV/cell
total magnetic moment	0.00	μB per cell


no.,VASP energy (eV/atom)
1,-5.49
2,-4.82
3,-3.63